1.
! DyHoSn2Ge2 PBE optimized geometry; values from VASP
! **M_tot**: 0.012 μB/f.u.
! **Total DFT energy (no corrections)**: -5.027 eV/atom
&SYSTEM
  ibrav = 0, nat = 6, ntyp = 4
/
ATOMIC_SPECIES
Dy 162.50 Dy.upf
Ho 164.93 Ho.upf
Sn 118.71 Sn.upf
Ge 72.64 Ge.upf
CELL_PARAMETERS angstrom
4.069 0.000 0.000
0.000 2.140 8.134
0.000 -2.140 8.134
ATOMIC_POSITIONS crystal
Dy 0.000 0.000 0.000
Ho 0.500 0.188 0.188
Sn 0.000 0.348 0.348
Sn 0.500 0.839 0.839
Ge 0.000 0.648 0.648
Ge 0.500 0.540 0.540

---

2.
! Sr2BiMo PBE optimized geometry; values from VASP
! **M_tot**: 2.941 μB/f.u.
! **Total DFT energy (no corrections)**: -4.083 eV/atom
&SYSTEM
  ibrav = 0, nat = 4, ntyp = 3
/
ATOMIC_SPECIES
Sr 87.62 Sr.upf
Bi 208.98 Bi.upf
Mo 95.94 Mo.upf
CELL_PARAMETERS angstrom
0.000 3.851 3.851
3.851 0.000 3.851
3.851 3.851 0.000
ATOMIC_POSITIONS crystal
Sr 0.000 0.000 0.000
Sr 0.250 0.250 0.250
Bi 0.500 0.500 0.500
Mo 0.750 0.750 0.750

---

3.
! SrNiGe2Pd PBE optimized geometry; values from VASP
! **M_tot**: 0.007 μB/f.u.
! **Total DFT energy (no corrections)**: -4.926 eV/atom
&SYSTEM
  ibrav = 0, nat = 5, ntyp = 4
/
ATOMIC_SPECIES
Sr 87.62 Sr.upf
Ni 58.69 Ni.upf
Ge 72.64 Ge.upf
Pd 106.42 Pd.upf
CELL_PARAMETERS angstrom
-2.160 2.160 5.179
2.160 -2.160 5.179
2.160 2.160 -5.179
ATOMIC_POSITIONS crystal
Sr 0.000 0.000 0.000
Ni 0.250 0.750 0.500
Ge 0.367 0.367 0.000
Ge 0.633 0.633 0.000
Pd 0.750 0.250 0.500